This record from the Alexandria database describes a relaxed structure of Cs2Rb15Na2. The functional is PBE-GGA.

Unit cell a=12.212 b=12.212 c=12.212 alpha=81.07 beta=81.07 gamma=81.07
Element x y z (fractional)
Cs1 0.187 0.187 0.187
Cs2 0.813 0.813 0.813
Rb1 0.000 0.500 0.500
Rb2 0.143 0.143 0.647
Rb3 0.143 0.647 0.143
Rb4 0.211 0.500 0.789
Rb5 0.211 0.789 0.500
Rb6 0.353 0.857 0.857
Rb7 0.500 0.000 0.500
Rb8 0.500 0.211 0.789
Rb9 0.500 0.500 0.000
Rb10 0.500 0.789 0.211
Rb11 0.647 0.143 0.143
Rb12 0.789 0.211 0.500
Rb13 0.789 0.500 0.211
Rb14 0.857 0.353 0.857
Rb15 0.857 0.857 0.353
Na1 0.416 0.416 0.416
Na2 0.584 0.584 0.584

Output
ΔH_f (0 K)   0.055 eV/atom
Space-group type   No. 166